Ac3NiPd2O9, optimized geometry, DFT PBE with a Hubbard U; magnetic moment = 1.16 Bohr magnetons per cell; DFT total energy = -6.608 eV/atom
1.0
5.7094 0.0000 0.0000
-2.8547 4.9444 0.0000
0.0000 0.0000 7.0057
O Ac Pd Ni
9 3 2 1
direct
0.3315 0.1658 0.6638
0.5000 0.5000 0.0000
0.5000 0.0000 0.0000
0.1658 0.8342 0.3362
0.8342 0.1658 0.6638
0.6685 0.8342 0.3362
0.8342 0.6685 0.6638
0.0000 0.5000 0.0000
0.1658 0.3315 0.3362
0.0000 0.0000 0.0000
0.6667 0.3333 0.3392
0.3333 0.6667 0.6608
0.6667 0.3333 0.8289
0.3333 0.6667 0.1711
0.0000 0.0000 0.5000